Record 1
The following is a GGA-PBE calculation of a relaxed structure of Fe2Ir9Rh, from Alexandria.

Results
* space-group type: P4/mmm, No. 123
* E_form: -20 meV per atom
* magnetization: 5.0 μB/f.u.
* total DFT energy (no corrections): -8.689 eV per atom
* ρ: 19.0 g/cm³

a b c (Å): 3.843 3.843 11.488
angles (deg): 90.00 90.00 90.00
Each line ends with the local moment (μB).
Sites, in units of the cell vectors:
Fe 0.000 0.000 0.333  2.59
Fe 0.000 0.000 0.667  2.59
Ir 0.500 0.500 0.000  -0.12
Ir 0.500 0.500 0.334  0.08
Ir 0.500 0.500 0.666  0.08
Ir 0.500 0.000 0.170  -0.05
Ir 0.500 0.000 0.500  0.13
Ir 0.500 0.000 0.830  -0.05
Ir 0.000 0.500 0.170  -0.05
Ir 0.000 0.500 0.500  0.13
Ir 0.000 0.500 0.830  -0.05
Rh 0.000 0.000 0.000  -0.35

=====

Record 2
The following is a GGA-PBE calculation of a relaxed structure of Pm4GeBr3, from Alexandria.

Results
* space-group type: Pmn2_1, No. 31
* formation energy without anion corrections: -0.83 eV/atom
* magnetization: 1.0 μB/f.u.
* total DFT energy (no corrections): -4.409 eV per atom
* ρ: 5.5 g/cm³

a b c (Å): 7.884 7.952 8.523
angles (deg): 90.00 90.00 90.00
Each line ends with the local moment (μB).
Sites, in units of the cell vectors:
Pm 0.189 0.828 0.000  0.02
Pm 0.700 0.230 0.000  0.18
Pm 0.073 0.399 0.253  0.09
Pm 0.573 0.601 0.247  0.09
Pm 0.200 0.770 0.500  0.18
Pm 0.689 0.172 0.500  0.02
Pm 0.573 0.601 0.753  0.09
Pm 0.073 0.399 0.747  0.09
Ge 0.055 0.166 0.000  -0.01
Ge 0.555 0.834 0.500  -0.01
Br 0.561 0.870 0.000  0.00
Br 0.933 0.745 0.236  0.01
Br 0.433 0.255 0.264  0.01
Br 0.061 0.130 0.500  0.00
Br 0.433 0.255 0.736  0.01
Br 0.933 0.745 0.764  0.01